# 1
! KHg2Pd (PBE, optimized geometry); values from VASP
&SYSTEM
  ibrav = 0, nat = 8, ntyp = 3
/
ATOMIC_SPECIES
Pd 106.42 Pd.upf
Hg 200.59 Hg.upf
K 39.10 K.upf
ATOMIC_POSITIONS angstrom
Pd 2.2699 3.2762 6.0165
Hg 2.2699 1.8510 0.4334
Pd 0.0000 2.6457 2.0055
K 2.2699 5.2515 2.0055
Hg 2.2699 1.8510 3.5776
K 0.0000 0.6704 6.0165
Hg 0.0000 4.0709 7.5886
Hg 0.0000 4.0709 4.4444
CELL_PARAMETERS angstrom
4.5398 0.0000 0.0000
-2.2699 5.9219 0.0000
0.0000 0.0000 8.0220
! - space group = Cmcm, No. 63
! - formation enthalpy at 0 K (meV per atom) = -216
! - energy above the most stable polymorph in this dataset (kcal/mol of atoms) = 0.000

# 2
! Tb2HoSc7 (PBE, optimized geometry); values from VASP
&SYSTEM
  ibrav = 0, nat = 10, ntyp = 3
/
ATOMIC_SPECIES
Sc 44.96 Sc.upf
Tb 158.93 Tb.upf
Ho 164.93 Ho.upf
ATOMIC_POSITIONS angstrom
Sc -2.5878 -1.7353 1.4746
Sc -1.7693 -3.9303 3.4633
Sc 3.7424 -5.5205 6.2599
Tb -6.1865 0.2747 -2.4755
Sc -0.0469 -1.4166 3.1733
Tb 1.0109 -3.7453 5.4247
Sc -3.4063 0.4597 -0.5141
Sc -5.1286 -2.0540 -0.2241
Sc -7.1420 0.5588 -5.6874
Ho 0.0000 0.0000 0.0000
CELL_PARAMETERS angstrom
-1.7760 1.4911 2.3767
-10.2485 2.2939 -9.0972
6.8488 -7.2556 9.6697
! - space group = Cmmm, No. 65
! - formation enthalpy at 0 K (meV per atom) = 150

# 3
! Hf3TiFe (PBE, optimized geometry); values from VASP
&SYSTEM
  ibrav = 0, nat = 10, ntyp = 3
/
ATOMIC_SPECIES
Hf 178.49 Hf.upf
Ti 47.87 Ti.upf
Fe 55.84 Fe.upf
ATOMIC_POSITIONS angstrom
Hf -2.8151 4.2172 1.4360
Hf 1.6105 1.6310 1.4545
Ti 0.6394 4.4808 1.1700
Hf -4.1900 2.7381 3.6856
Hf -2.7233 -0.4024 3.4214
Hf -0.7342 3.0012 3.4215
Ti 0.2363 0.1504 3.7060
Hf -1.3480 1.0772 1.1719
Fe -4.4465 0.6047 4.8660
Fe 3.3337 0.6240 0.0099
CELL_PARAMETERS angstrom
6.4145 0.8173 0.0184
-2.4364 5.9898 -0.0184
-3.3538 -2.6060 4.8760
! - space group = Imma, No. 74
! - formation enthalpy at 0 K (meV per atom) = 59
! - energy above the most stable polymorph in this dataset (kcal/mol of atoms) = 0.000

# 4
! CdHg2Pb3 (PBE, optimized geometry); values from VASP
&SYSTEM
  ibrav = 0, nat = 6, ntyp = 3
/
ATOMIC_SPECIES
Cd 112.41 Cd.upf
Pb 207.20 Pb.upf
Hg 200.59 Hg.upf
ATOMIC_POSITIONS angstrom
Cd 0.0000 0.0000 0.0000
Pb 1.8593 2.5710 -0.8484
Hg 1.8593 0.7812 2.3674
Pb 0.0000 3.5141 2.0095
Pb 0.0000 1.6687 5.0566
Hg 1.8593 4.4015 4.6987
CELL_PARAMETERS angstrom
3.7186 0.0000 0.0000
0.0000 5.1419 -1.6968
0.0000 0.0408 8.7629
! - space group = Cmmm, No. 65
! - formation enthalpy at 0 K (meV per atom) = 27

# 5
! RbHAu (PBE, optimized geometry); values from VASP
&SYSTEM
  ibrav = 0, nat = 6, ntyp = 3
/
ATOMIC_SPECIES
H 1.01 H.upf
Rb 85.47 Rb.upf
Au 196.97 Au.upf
ATOMIC_POSITIONS angstrom
H 0.9733 -5.5001 3.4034
Rb -2.2674 -1.1723 -2.0195
H -2.5909 -1.6560 0.7203
Au -1.8750 -2.6616 1.9392
Rb -2.4154 -4.7562 -0.6696
Au 0.2575 -4.4945 2.1845
CELL_PARAMETERS angstrom
-2.6655 1.0154 2.4032
-3.0653 1.2276 -6.8128
1.4856 -6.5341 4.4084
! - space group = C2/m, No. 12
! - energy above the most stable polymorph in this dataset (kcal/mol of atoms) = 2.983

# 6
! La3PmDy2Se6 (PBE, optimized geometry); values from VASP
&SYSTEM
  ibrav = 0, nat = 12, ntyp = 4
/
ATOMIC_SPECIES
Pm 145.00 Pm.upf
La 138.91 La.upf
Se 78.96 Se.upf
Dy 162.50 Dy.upf
ATOMIC_POSITIONS angstrom
Pm 0.0000 0.0000 0.0000
La 4.8845 -0.0308 3.4638
Se 2.4743 -0.0059 1.6326
Se 0.0230 0.0399 5.3187
Se -0.0576 4.1904 5.2951
Dy -0.0051 4.1936 -0.0023
La 1.2084 2.0923 3.4638
Se 2.3937 4.1447 1.6090
Se 3.6584 2.0443 5.2951
La -2.4677 4.2154 3.4638
Dy 3.6349 2.0914 -0.0023
Se -1.2416 2.1403 1.6326
CELL_PARAMETERS angstrom
7.2759 -0.0115 -0.0023
-3.6461 6.2964 -0.0023
-1.2131 -2.1004 6.9323
! - space group = C2/m, No. 12
! - ΔE_f (raw) (eV/atom) = -1.896